Entry 1:
# Cs2KCd2H6 (PBE, relaxed)
# - VASP energy: -25.75 eV for the cell shown
# - Fermi-level density of states: 0.1505 states/eV per atom
data_Cs2KCd2H6
_symmetry_space_group_name_H-M 'P 1'
_symmetry_Int_Tables_number 1
_cell_length_a 6.671
_cell_length_b 6.671
_cell_length_c 8.085
_cell_angle_alpha 117.56
_cell_angle_beta 117.56
_cell_angle_gamma 57.38
loop_
_symmetry_equiv_pos_as_xyz
'x,y,z'
loop_
_atom_site_label
_atom_site_fract_x
_atom_site_fract_y
_atom_site_fract_z
Cs1 0.205 0.205 0.186
Cs2 0.795 0.795 0.814
K1 0.000 0.000 0.500
Cd1 0.459 0.459 0.787
Cd2 0.541 0.541 0.213
H1 0.218 0.699 0.217
H2 0.276 0.276 0.640
H3 0.301 0.782 0.783
H4 0.699 0.218 0.217
H5 0.724 0.724 0.360
H6 0.782 0.301 0.783

Entry 2:
# PmP2ClO6 (PBE, relaxed)
# - VASP energy: -143.53 eV for the cell shown
# - Fermi-level density of states: 0.0000 states/eV per atom
data_PmP2ClO6
_symmetry_space_group_name_H-M 'P 1'
_symmetry_Int_Tables_number 1
_cell_length_a 8.409
_cell_length_b 8.409
_cell_length_c 4.856
_cell_angle_alpha 100.08
_cell_angle_beta 100.08
_cell_angle_gamma 89.15
loop_
_symmetry_equiv_pos_as_xyz
'x,y,z'
loop_
_atom_site_label
_atom_site_fract_x
_atom_site_fract_y
_atom_site_fract_z
Pm1 0.191 0.809 0.750
Pm2 0.809 0.191 0.250
P1 0.229 0.388 0.371
P2 0.388 0.229 0.871
P3 0.612 0.771 0.129
P4 0.771 0.612 0.629
Cl1 0.090 0.910 0.250
Cl2 0.910 0.090 0.750
O1 0.064 0.316 0.331
O2 0.250 0.566 0.480
O3 0.295 0.357 0.073
O4 0.316 0.064 0.831
O5 0.357 0.295 0.573
O6 0.434 0.750 0.020
O7 0.566 0.250 0.980
O8 0.643 0.705 0.427
O9 0.684 0.936 0.169
O10 0.705 0.643 0.927
O11 0.750 0.434 0.520
O12 0.936 0.684 0.669

Entry 3:
# K2Zn2HgSe4 (PBE, relaxed)
# - VASP energy: -25.85 eV for the cell shown
data_K2Zn2HgSe4
_symmetry_space_group_name_H-M 'P 1'
_symmetry_Int_Tables_number 1
_cell_length_a 8.688
_cell_length_b 8.688
_cell_length_c 7.664
_cell_angle_alpha 109.22
_cell_angle_beta 109.22
_cell_angle_gamma 27.12
loop_
_symmetry_equiv_pos_as_xyz
'x,y,z'
loop_
_atom_site_label
_atom_site_fract_x
_atom_site_fract_y
_atom_site_fract_z
K1 0.124 0.124 0.029
K2 0.876 0.876 0.971
Zn1 0.324 0.324 0.510
Zn2 0.676 0.676 0.490
Hg1 0.000 0.000 0.500
Se1 0.220 0.220 0.694
Se2 0.471 0.471 0.723
Se3 0.529 0.529 0.277
Se4 0.780 0.780 0.306